1.
Density functional theory data (PBE-GGA) for crystalline GaHgAu3 at its relaxed geometry.

Cell: 4.933 4.933 4.933 Å, 90.00 90.00 90.00°
Fractional positions:
Au 0.000 0.500 0.000
Au 0.000 0.000 0.500
Au 0.500 0.000 0.000
Ga 0.000 0.000 0.000
Hg 0.500 0.500 0.500

Calculated values
E   -2.33 eV/atom
Formation enthalpy at 0 K   1.517 eV/f.u.

2.
Density functional theory data (PBE-GGA) for crystalline GaHgAu3 at its relaxed geometry.

Cell: 3.189 7.374 8.547 Å, 90.00 89.96 90.00°
Fractional positions:
Hg 0.249 0.750 0.558
Hg 0.751 0.250 0.442
Au 0.750 0.750 0.278
Au 0.250 0.444 0.184
Au 0.750 0.944 0.817
Au 0.250 0.250 0.722
Au 0.250 0.056 0.183
Au 0.750 0.556 0.816
Ga 0.750 0.250 0.988
Ga 0.250 0.750 0.012

Calculated values
E   -2.68 eV/atom
Formation enthalpy at 0 K   -0.221 eV/f.u.

3.
Density functional theory data (PBE-GGA) for crystalline Ga2Hg2Au5 at its relaxed geometry.

Cell: 4.549 7.885 7.448 Å, 120.83 90.00 106.77°
Fractional positions:
Hg 0.175 0.350 0.784
Hg 0.825 0.650 0.216
Au 0.000 0.000 0.000
Au 0.188 0.376 0.401
Au 0.406 0.813 0.122
Au 0.812 0.624 0.599
Au 0.594 0.187 0.878
Ga 0.396 0.792 0.752
Ga 0.604 0.208 0.248

Calculated values
E   -2.57 eV/atom
Formation enthalpy at 0 K   -0.077 eV/f.u.

4.
Density functional theory data (PBE-GGA) for crystalline Ga2HgAu9 at its relaxed geometry.

Cell: 3.145 9.038 9.038 Å, 120.00 90.00 90.00°
Fractional positions:
Au 0.000 0.500 0.000
Au 0.500 0.638 0.819
Au 0.000 0.500 0.500
Au 0.500 0.181 0.362
Au 0.500 0.819 0.181
Au 0.500 0.819 0.638
Au 0.500 0.362 0.181
Au 0.500 0.181 0.819
Au 0.000 0.000 0.500
Hg 0.000 0.000 0.000
Ga 0.000 0.667 0.333
Ga 0.000 0.333 0.667

Calculated values
E   -3.02 eV/atom
Formation enthalpy at 0 K   -0.391 eV/f.u.

5.
Density functional theory data (PBE-GGA) for crystalline GaHgAu at its relaxed geometry.

Cell: 3.360 3.360 6.023 Å, 106.20 106.20 90.00°
Fractional positions:
Ga 0.314 0.314 0.628
Hg 0.003 0.003 0.005
Au 0.684 0.684 0.367

Calculated values
E   -2.19 eV/atom
Formation enthalpy at 0 K   0.042 eV/f.u.

6.
Density functional theory data (PBE-GGA) for crystalline GaHgAu2 at its relaxed geometry.

Cell: 7.753 7.753 6.145 Å, 50.89 50.89 90.00°
Fractional positions:
Ga 0.250 0.750 0.500
Ga 0.500 0.500 0.000
Au 0.591 0.125 0.250
Au 0.159 0.625 0.250
Au 0.875 0.841 0.750
Au 0.375 0.409 0.750
Hg 0.750 0.250 0.500
Hg 0.000 0.000 0.000

Calculated values
E   -2.46 eV/atom
Formation enthalpy at 0 K   0.036 eV/f.u.

7.
Density functional theory data (PBE-GGA) for crystalline GaHgAu2 at its relaxed geometry.

Cell: 3.357 3.357 8.436 Å, 78.52 78.52 60.00°
Fractional positions:
Ga 0.667 0.667 0.000
Hg 0.500 0.500 0.501
Au 0.074 0.074 0.777
Au 0.259 0.259 0.222

Calculated values
E   -2.52 eV/atom
Formation enthalpy at 0 K   -0.193 eV/f.u.

8.
Density functional theory data (PBE-GGA) for crystalline GaHgAu at its relaxed geometry.

Cell: 3.927 3.927 5.040 Å, 90.00 90.00 120.00°
Fractional positions:
Ga 0.667 0.333 0.370
Au 0.333 0.667 0.630
Hg 0.000 0.000 0.000

Calculated values
E   -2.23 eV/atom
Formation enthalpy at 0 K   -0.090 eV/f.u.